Entry 1:
Compound: LiCaErGa
Source: the Alexandria database
Functional: GGA-PBE
Structure: relaxed

a b c (Å): 5.1523 5.1523 5.1523
angles (deg): 60.00 60.00 60.00
Closest atoms and distances in Å follow each position.
Atoms (fractional coordinates):
Li  0.0000  0.0000  0.0000  4 Er 3.16, 4 Ca 3.16
Ca  0.2500  0.2500  0.2500  4 Ga 3.16, 4 Li 3.16
Er  0.7500  0.7500  0.7500  4 Ga 3.16, 4 Li 3.16
Ga  0.5000  0.5000  0.5000  4 Er 3.16, 4 Ca 3.16

Summary:
- Energy of formation: -1.0 eV per formula unit
- Spin magnetization: 0.00 μB/f.u.
- Density of states at the Fermi level: 0.79 states/eV/atom
- Symmetry: F-43m, No. 216
- Volume: 96.7 Å³ per cell

---

Entry 2:
Compound: Co2BrCl
Source: the Alexandria database
Functional: GGA-PBE
Structure: relaxed

a b c (Å): 5.0556 5.0556 5.0556
angles (deg): 142.02 105.02 87.28
Closest atoms and distances in Å follow each position.
Atoms (fractional coordinates):
Co  0.2386  0.2386  0.0000  2 Cl 2.40, 2 Br 2.52
Co  0.7614  0.7614  0.0000  2 Cl 2.40, 2 Br 2.52
Br  0.5000  0.0000  0.5000  4 Co 2.52
Cl  0.0000  0.5000  0.5000  4 Co 2.40

Summary:
- Spin magnetization: 3.99 μB/f.u.
- Density of states at the Fermi level: 2.04 states/eV/atom
- Total DFT energy (no corrections): -15.8 eV for the cell shown
- Symmetry: Immm, No. 71
- Volume: 74.1 Å³ per cell

---

Entry 3:
Compound: AcTm2Re
Source: the Alexandria database
Functional: GGA-PBE
Structure: relaxed

a b c (Å): 11.6329 11.6329 11.6329
angles (deg): 16.61 16.61 16.61
Closest atoms and distances in Å follow each position.
Atoms (fractional coordinates):
Ac  0.0000  0.0000  0.0000  6 Ac 3.36, 6 Tm 3.68
Tm  0.4242  0.4242  0.4242  1 Re 2.61
Tm  0.5758  0.5758  0.5758  1 Re 2.61
Re  0.5000  0.5000  0.5000  2 Tm 2.61

Summary:
- Energy of formation: 3.8 eV per formula unit
- Spin magnetization: 0.40 μB/f.u.
- Density of states at the Fermi level: 1.25 states/eV/atom
- Symmetry: R-3m, No. 166
- Volume: 112.2 Å³ per cell